Record 1
A plane-wave DFT calculation with meta-GGA SCAN was carried out for a PBEsol-optimized structure of RbNbN3.

Unit cell a=4.0431 b=4.0431 c=4.0431 alpha=90.00 beta=90.00 gamma=90.00
Last column: magnetic moment on the atom in μB.
Atoms (fractional coordinates):
Rb  0.0000  0.0000  0.0000  0.02
N  0.0000  0.5000  0.0000  0.31
N  0.0000  0.0000  0.5000  0.31
N  0.5000  0.0000  0.0000  0.31
Nb  0.5000  0.5000  0.5000  -1.51

Record 2
A plane-wave DFT calculation with meta-GGA SCAN was carried out for a PBEsol-optimized structure of Rb2NbSeN.

Unit cell a=3.8215 b=6.3022 c=6.3022 alpha=90.00 beta=90.00 gamma=90.00
Last column: magnetic moment on the atom in μB.
Atoms (fractional coordinates):
N  0.0000  0.0000  0.0000  -0.06
Rb  0.0000  0.5000  0.0000  0.06
Rb  0.0000  0.0000  0.5000  0.06
Nb  0.5000  0.5000  0.5000  3.09
Se  0.5000  0.0000  0.0000  -0.02

Record 3
A plane-wave DFT calculation with meta-GGA SCAN was carried out for a PBEsol-optimized structure of RbNbTeN2.

Unit cell a=4.2571 b=4.2571 c=6.1885 alpha=90.00 beta=90.00 gamma=90.00
Last column: magnetic moment on the atom in μB.
Atoms (fractional coordinates):
Nb  0.5000  0.5000  0.5000  -2.27
N  0.5000  0.0000  0.0000  0.91
N  0.0000  0.5000  0.0000  0.91
Te  0.0000  0.0000  0.5000  0.26
Rb  0.0000  0.0000  0.0000  0.04

Record 4
A plane-wave DFT calculation with meta-GGA SCAN was carried out for a PBEsol-optimized structure of Rb2ZrNbN.

Unit cell a=3.9539 b=7.0774 c=7.0774 alpha=90.00 beta=90.00 gamma=90.00
Last column: magnetic moment on the atom in μB.
Atoms (fractional coordinates):
N  0.5000  0.0000  0.0000  0.24
Rb  0.0000  0.5000  0.0000  0.02
Rb  0.0000  0.0000  0.5000  0.02
Nb  0.5000  0.5000  0.5000  3.12
Zr  0.0000  0.0000  0.0000  -0.73

Number 1: formation energy from raw total energies 3.125 eV/atom. Number 2: formation energy from raw total energies 0.982 eV/atom. Number 3: formation energy from raw total energies 2.516 eV/atom. Number 4: formation energy from raw total energies 1.115 eV/atom.